# 1
{
  "formula": "ZnInGa",
  "functional": "PBE",
  "state": "relaxed",
  "formation_enthalpy_0k_kj_per_mol_fu": 19,
  "lattice": [[-3.969, 2.097, 2.745], [-1.234, -3.837, 1.147], [2.585, -2.225, 5.416]],
  "species": ["In", "In", "Ga", "Zn", "Zn", "Ga"],
  "fractional_positions": [[0.164, 0.992, 0.858], [0.664, 0.328, 0.021], [0.164, 0.277, 0.259], [0.416, 0.662, 0.437], [0.916, 0.659, 0.443], [0.663, 0.044, 0.621]]
}

# 2
{
  "formula": "Pm4Er3Sc2",
  "functional": "PBE",
  "state": "relaxed",
  "relative_energy_ev_per_atom": 0.0436,
  "formation_enthalpy_0k_kj_per_mol_fu": 89,
  "lattice": [[5.861, 0.108, 0.517], [0.676, 9.376, 3.611], [0.283, -0.225, 10.063]],
  "species": ["Pm", "Pm", "Sc", "Er", "Er", "Pm", "Er", "Er", "Pm", "Pm", "Sc", "Sc", "Pm", "Er", "Sc", "Pm", "Er", "Pm"],
  "fractional_positions": [[0.970, 0.181, 0.945], [0.618, 0.822, 0.608], [0.807, 0.268, 0.527], [0.923, 0.030, 0.320], [0.577, 0.680, 0.970], [0.118, 0.608, 0.822], [0.423, 0.320, 0.030], [0.077, 0.970, 0.680], [0.030, 0.819, 0.055], [0.470, 0.945, 0.181], [0.307, 0.527, 0.268], [0.693, 0.473, 0.732], [0.882, 0.392, 0.178], [0.750, 0.613, 0.387], [0.193, 0.732, 0.473], [0.382, 0.178, 0.392], [0.250, 0.387, 0.613], [0.530, 0.055, 0.819]]
}

# 3
{
  "formula": "LaTa2N",
  "functional": "PBE",
  "state": "relaxed",
  "raw_formation_energy_ev_per_atom": -0.070,
  "lattice": [[6.421, 0.000, 0.000], [0.000, 6.421, 0.000], [3.211, 3.211, 4.553]],
  "species": ["Ta", "N", "La", "Ta", "Ta", "N", "La", "Ta"],
  "fractional_positions": [[0.375, 0.624, 0.750], [0.500, 0.500, 0.000], [0.000, 0.000, 0.000], [0.374, 0.625, 0.250], [0.376, 0.125, 0.250], [0.250, 0.750, 0.500], [0.750, 0.250, 0.500], [0.875, 0.626, 0.750]]
}

# 4
{
  "formula": "LaCuRe2",
  "functional": "PBE",
  "state": "relaxed",
  "relative_energy_ev_per_atom": 0.5060,
  "formation_enthalpy_0k_kj_per_mol_fu": 242,
  "lattice": [[3.215, 0.000, 0.000], [0.000, 4.539, 0.000], [0.000, 0.000, 4.968]],
  "species": ["La", "Re", "Cu", "Re"],
  "fractional_positions": [[0.000, 0.500, 0.500], [0.000, 0.000, 0.000], [0.500, 0.000, 0.500], [0.500, 0.500, 0.000]]
}

# 5
{
  "formula": "PdI2Br",
  "functional": "PBE",
  "state": "relaxed",
  "relative_energy_ev_per_atom": 0.0000,
  "raw_formation_energy_ev_per_atom": -0.134,
  "lattice": [[3.779, 0.000, 0.000], [0.000, 19.492, 1.034], [0.000, 10.444, 8.221]],
  "species": ["Pd", "I", "Br", "Pd", "Br", "I", "I", "Br", "I", "Pd", "I", "I", "I", "I", "Pd", "Br"],
  "fractional_positions": [[0.750, 0.693, 0.575], [0.750, 0.768, 0.110], [0.750, 0.343, 0.255], [0.250, 0.307, 0.425], [0.250, 0.657, 0.745], [0.250, 0.059, 0.667], [0.750, 0.941, 0.333], [0.750, 0.843, 0.755], [0.750, 0.268, 0.610], [0.250, 0.807, 0.925], [0.250, 0.559, 0.167], [0.250, 0.232, 0.890], [0.250, 0.732, 0.390], [0.750, 0.441, 0.833], [0.750, 0.193, 0.075], [0.250, 0.157, 0.245]]
}

# 6
{
  "formula": "Rb2NaSeF6",
  "functional": "PBE",
  "state": "relaxed",
  "relative_energy_ev_per_atom": 0.0000,
  "raw_formation_energy_ev_per_atom": -2.196,
  "lattice": [[6.196, 0.000, 0.000], [3.098, 5.366, 0.000], [3.098, 1.789, 11.072]],
  "species": ["F", "Rb", "Rb", "Se", "F", "F", "F", "F", "Rb", "F", "Se", "F", "Rb", "F", "Na", "F", "Na", "F", "F", "F"],
  "fractional_positions": [[0.816, 0.267, 0.101], [0.139, 0.139, 0.582], [0.274, 0.274, 0.177], [0.000, 0.000, 0.000], [0.607, 0.140, 0.645], [0.267, 0.816, 0.101], [0.860, 0.393, 0.355], [0.733, 0.184, 0.899], [0.861, 0.861, 0.418], [0.140, 0.607, 0.645], [0.500, 0.500, 0.500], [0.184, 0.733, 0.899], [0.726, 0.726, 0.823], [0.816, 0.816, 0.101], [0.406, 0.406, 0.781], [0.184, 0.184, 0.899], [0.594, 0.594, 0.219], [0.607, 0.607, 0.645], [0.393, 0.393, 0.355], [0.393, 0.860, 0.355]]
}

# 7
{
  "formula": "PmPd",
  "functional": "PBE",
  "state": "relaxed",
  "formation_enthalpy_0k_kj_per_mol_fu": -133,
  "lattice": [[-1.538, 3.845, 0.588], [-1.524, 2.161, -3.240], [-4.116, 0.677, -0.312]],
  "species": ["Pm", "Pd"],
  "fractional_positions": [[0.500, 0.500, 0.500], [0.000, 0.000, 0.000]]
}

# 8
{
  "formula": "Sm4HgBi",
  "functional": "PBE",
  "state": "relaxed",
  "formation_enthalpy_0k_kj_per_mol_fu": -226,
  "lattice": [[6.331, -0.626, 0.000], [-2.388, 8.581, 0.000], [-1.972, -3.978, 7.003]],
  "species": ["Bi", "Sm", "Sm", "Sm", "Sm", "Sm", "Sm", "Sm", "Sm", "Hg", "Bi", "Hg"],
  "fractional_positions": [[0.363, 0.613, 0.227], [0.766, 0.708, 0.619], [0.647, 0.089, 0.381], [0.084, 0.210, 0.817], [0.916, 0.790, 0.183], [0.233, 0.607, 0.817], [0.767, 0.393, 0.183], [0.234, 0.292, 0.381], [0.353, 0.911, 0.619], [0.748, 0.998, 0.996], [0.637, 0.387, 0.773], [0.252, 0.002, 0.004]]
}

# 9
{
  "formula": "La4CoC",
  "functional": "PBE",
  "state": "relaxed",
  "formation_enthalpy_0k_kj_per_mol_fu": -41,
  "lattice": [[3.908, 0.000, 0.000], [0.000, 6.693, -0.489], [0.000, 1.121, 6.701]],
  "species": ["La", "C", "La", "La", "La", "Co"],
  "fractional_positions": [[0.500, 0.778, 0.818], [0.500, 0.000, 0.500], [0.000, 0.784, 0.350], [0.500, 0.222, 0.182], [0.000, 0.216, 0.650], [0.000, 0.000, 0.000]]
}

# 10
{
  "formula": "YBeB",
  "functional": "PBE",
  "state": "relaxed",
  "relative_energy_ev_per_atom": 0.1037,
  "formation_enthalpy_0k_kj_per_mol_fu": -54,
  "lattice": [[8.429, 0.000, 0.000], [0.000, 3.535, 0.000], [0.000, 0.000, 6.143]],
  "species": ["B", "Y", "Y", "Be", "Y", "Be", "Be", "B", "B", "B", "Y", "Be"],
  "fractional_positions": [[0.556, 0.250, 0.784], [0.678, 0.750, 0.509], [0.822, 0.250, 0.009], [0.474, 0.250, 0.086], [0.322, 0.250, 0.491], [0.026, 0.750, 0.586], [0.974, 0.250, 0.414], [0.444, 0.750, 0.216], [0.944, 0.750, 0.284], [0.056, 0.250, 0.716], [0.178, 0.750, 0.991], [0.526, 0.750, 0.914]]
}

# 11
{
  "formula": "CaAl4Fe8",
  "functional": "PBE",
  "state": "relaxed",
  "formation_enthalpy_0k_kj_per_mol_fu": -109,
  "lattice": [[6.472, 0.038, 0.000], [-4.512, 4.641, 0.000], [-0.980, -2.340, 5.955]],
  "species": ["Al", "Fe", "Ca", "Fe", "Fe", "Al", "Al", "Al", "Fe", "Fe", "Fe", "Fe", "Fe"],
  "fractional_positions": [[0.500, 0.000, 0.000], [0.000, 0.633, 0.633], [0.000, 0.000, 0.000], [0.000, 0.367, 0.367], [0.500, 0.719, 0.219], [0.000, 0.000, 0.500], [0.000, 0.500, 0.000], [0.500, 0.500, 0.500], [0.633, 0.000, 0.633], [0.719, 0.500, 0.219], [0.500, 0.281, 0.781], [0.367, 0.000, 0.367], [0.281, 0.500, 0.781]]
}

# 12
{
  "formula": "Ho3AsPbO",
  "functional": "PBE",
  "state": "relaxed",
  "raw_formation_energy_ev_per_atom": -1.646,
  "lattice": [[4.023, 0.000, 0.000], [0.000, 8.867, 0.752], [0.000, -2.622, 8.514]],
  "species": ["O", "Ho", "Pb", "As", "As", "Pb", "Ho", "Ho", "Ho", "Ho", "O", "Ho"],
  "fractional_positions": [[0.750, 0.912, 0.408], [0.250, 0.118, 0.847], [0.250, 0.175, 0.222], [0.750, 0.348, 0.831], [0.250, 0.652, 0.169], [0.750, 0.825, 0.778], [0.250, 0.842, 0.485], [0.750, 0.882, 0.153], [0.750, 0.423, 0.159], [0.750, 0.158, 0.515], [0.250, 0.088, 0.592], [0.250, 0.577, 0.841]]
}

| no. | magnetic moment (μB per atom) |
| --- | --- |
| 1 | 0.000 |
| 2 | 0.000 |
| 3 | 0.000 |
| 4 | 0.000 |
| 5 | 0.000 |
| 6 | 0.100 |
| 7 | 0.000 |
| 8 | 0.000 |
| 9 | 0.000 |
| 10 | 0.000 |
| 11 | 1.296 |
| 12 | 0.000 |